No. 1
Material: Rb6PaBi4
Method: DFT, PBE
State: relaxed

Cell: 9.2821 12.0548 12.0548 Å, 120.00 90.00 90.00°
Site moments in Bohr magnetons follow the coordinates.
Sites, in units of the cell vectors:
Rb: 0.4518 0.7146 0.8573  0.00
Rb: 0.4518 0.1427 0.2854  0.00
Rb: 0.4518 0.1427 0.8573  0.00
Rb: 0.9518 0.2854 0.1427  0.00
Rb: 0.9518 0.8573 0.7146  0.00
Rb: 0.9518 0.8573 0.1427  0.00
Rb: 0.6375 0.9407 0.4703  0.00
Rb: 0.6375 0.5297 0.0593  0.00
Rb: 0.6375 0.5297 0.4703  0.00
Rb: 0.1375 0.0593 0.5297  0.00
Rb: 0.1375 0.4703 0.9407  0.00
Rb: 0.1375 0.4703 0.5297  0.00
Pa: 0.7569 0.3333 0.6667  0.14
Pa: 0.2569 0.6667 0.3333  0.14
Bi: 0.4306 0.3333 0.6667  0.12
Bi: 0.9306 0.6667 0.3333  0.12
Bi: 0.8456 0.6122 0.8061  0.08
Bi: 0.8456 0.1939 0.3878  0.08
Bi: 0.8456 0.1939 0.8061  0.08
Bi: 0.3456 0.3878 0.1939  0.08
Bi: 0.3456 0.8061 0.6122  0.08
Bi: 0.3456 0.8061 0.1939  0.08

* energy of formation from the pure elements: -0.266 eV/atom
* DOS at the Fermi energy: 47.3 states/eV/cell
* symmetry: P6_3mc
* volume: 1168.2 Å³ per cell



No. 2
Material: CrRhBr2
Method: DFT, PBE
State: relaxed

Cell: 4.9582 4.9582 8.2684 Å, 72.55 72.55 90.00°
Site moments in Bohr magnetons follow the coordinates.
Sites, in units of the cell vectors:
Cr: 0.5000 0.5000 0.0000  3.77
Cr: 0.2500 0.7500 0.5000  3.77
Rh: 0.0000 0.0000 0.0000  -0.94
Rh: 0.7500 0.2500 0.5000  -0.95
Br: 0.6268 0.1250 0.2500  -0.09
Br: 0.1232 0.6250 0.2500  -0.10
Br: 0.3750 0.3732 0.7500  -0.09
Br: 0.8750 0.8768 0.7500  -0.10

* DOS at the Fermi energy: 7.9 states/eV/cell
* energy above the lowest structure with this stoichiometry: 0.367 eV/atom
* E_form (uncorrected): 297 meV per atom
* symmetry: I-42d
* volume: 184.1 Å³ per cell



No. 3
Material: BaMgCu2
Method: DFT, PBE
State: relaxed

Cell: 3.5727 3.5727 7.1864 Å, 90.00 90.00 90.03°
Sites, in units of the cell vectors:
Ba: 0.5000 0.5000 0.7500
Cu: 0.0000 0.0000 0.0771
Cu: 0.0000 0.0000 0.4229
Mg: 0.5000 0.5000 0.2500

* energy of formation from the pure elements: 0.056 eV/atom
* DOS at the Fermi energy: 2.0 states/eV/cell
* symmetry: P4/mmm
* volume: 91.7 Å³ per cell



No. 4
Material: AcGeTe2
Method: DFT, PBE
State: relaxed

Cell: 4.0802 4.0802 7.2956 Å, 90.00 90.00 90.00°
Sites, in units of the cell vectors:
Ac: 0.5000 0.5000 0.5000
Te: 0.0000 0.0000 0.7566
Te: 0.0000 0.0000 0.2434
Ge: 0.5000 0.5000 0.0000

* DOS at the Fermi energy: 1.9 states/eV/cell
* E_form (uncorrected): -611 meV per atom
* symmetry: P4/mmm
* volume: 121.5 Å³ per cell



No. 5
Material: Ac2Ce3YSe6
Method: DFT, PBE
State: relaxed

Cell: 7.4069 7.4069 7.4321 Å, 99.61 99.61 120.02°
Site moments in Bohr magnetons follow the coordinates.
Sites, in units of the cell vectors:
Ac: 0.3344 0.6656 0.0000  0.00
Ac: 0.6656 0.3344 0.0000  0.00
Ce: 0.1722 0.8278 0.5000  0.87
Ce: 0.8278 0.1722 0.5000  0.87
Ce: 0.5000 0.5000 0.5000  0.87
Y: 0.0000 0.0000 0.0000  -0.01
Se: 0.9158 0.5971 0.7454  -0.01
Se: 0.7692 0.7692 0.2607  -0.01
Se: 0.0842 0.4029 0.2546  -0.01
Se: 0.5971 0.9158 0.7454  -0.01
Se: 0.2308 0.2308 0.7393  -0.01
Se: 0.4029 0.0842 0.2546  -0.01

* DOS at the Fermi energy: 20.7 states/eV/cell
* E_form (uncorrected): -1804 meV per atom
* symmetry: C2/m
* volume: 332.8 Å³ per cell



No. 6
Material: Ac8POs3Cl4
Method: DFT, PBE
State: relaxed

Cell: 8.7563 9.3152 8.7559 Å, 118.07 120.00 90.00°
Sites, in units of the cell vectors:
Ac: 0.2401 0.7015 0.9618
Ac: 0.2400 0.7015 0.4801
Ac: 0.2629 0.2889 0.5257
Ac: 0.7217 0.7015 0.9618
Ac: 0.2783 0.2985 0.0382
Ac: 0.7371 0.7111 0.4743
Ac: 0.7600 0.2985 0.5199
Ac: 0.7599 0.2985 0.0382
P: 0.0000 0.5000 0.0000
Os: 0.5000 0.5000 0.0000
Os: 0.5000 0.5000 0.5000
Os: 0.0000 0.5000 0.5000
Cl: 0.5000 0.0000 0.0000
Cl: 0.5000 0.0000 0.5000
Cl: 0.0000 0.0000 0.0000
Cl: 0.0000 0.0000 0.5000

* DOS at the Fermi energy: 11.4 states/eV/cell
* E_form (uncorrected): -994 meV per atom
* symmetry: C2/m
* volume: 519.2 Å³ per cell



No. 7
Material: CsBaAlS3
Method: DFT, PBE
State: relaxed

Cell: 4.9956 8.6322 9.5462 Å, 104.98 90.00 106.82°
Sites, in units of the cell vectors:
Cs: 0.3553 0.7106 0.9336
Cs: 0.6447 0.2894 0.0664
Ba: 0.6495 0.2990 0.5764
Ba: 0.3505 0.7010 0.4236
Al: 0.0058 0.0117 0.2846
Al: 0.9942 0.9883 0.7154
S: 0.8650 0.7301 0.2125
S: 0.8524 0.7048 0.6519
S: 0.5042 0.0085 0.2904
S: 0.1476 0.2952 0.3481
S: 0.4958 0.9915 0.7096
S: 0.1350 0.2699 0.7875

* E_form (uncorrected): -1300 meV per atom
* symmetry: C2/m
* volume: 379.4 Å³ per cell



No. 8
Material: Cs3ScAg2I8
Method: DFT, PBE
State: relaxed

Cell: 8.4312 8.4312 10.9692 Å, 90.00 90.00 120.00°
Sites, in units of the cell vectors:
Cs: 0.3333 0.6667 0.6267
Cs: 0.6667 0.3333 0.3733
Cs: 0.0000 0.0000 0.0000
Sc: 0.0000 0.0000 0.5000
Ag: 0.3333 0.6667 0.2077
Ag: 0.6667 0.3333 0.7923
I: 0.3333 0.6667 0.9630
I: 0.6667 0.3333 0.0370
I: 0.1591 0.8409 0.3406
I: 0.8409 0.1591 0.6594
I: 0.1591 0.3182 0.3406
I: 0.8409 0.6818 0.6594
I: 0.6818 0.8409 0.3406
I: 0.3182 0.1591 0.6594

* DOS at the Fermi energy: 0.0 states/eV/cell
* E_form (uncorrected): -1050 meV per atom
* symmetry: P-3m1
* volume: 675.3 Å³ per cell



No. 9
Material: MgIn2BP
Method: DFT, PBE
State: relaxed

Cell: 5.9174 3.4091 5.9174 Å, 90.00 90.00 90.00°
Sites, in units of the cell vectors:
P: 0.0000 0.0000 0.0000
Mg: 0.5000 0.5000 0.5000
B: 0.0000 0.5000 0.0000
In: 0.0000 0.0000 0.5000
In: 0.5000 0.0000 0.0000

* energy of formation from the pure elements: 0.524 eV/atom
* DOS at the Fermi energy: 1.8 states/eV/cell
* symmetry: P4/mmm
* volume: 119.4 Å³ per cell